A relaxed structure of U2Pd3Pt3, computed with PBE-GGA.

Structure (POSCAR):
```
U2Pd3Pt3
1.0
5.299 -0.277 0.262
-0.271 5.300 0.268
0.269 0.275 5.298
U Pd Pt
2 3 3
direct
0.291 0.292 0.709
0.709 0.708 0.291
0.237 0.763 0.001
0.001 0.237 0.237
0.762 0.000 0.762
0.197 0.803 0.500
0.501 0.197 0.197
0.803 0.500 0.803
```

Calculated values
The value obtained for the volume is 147.6 Å³/f.u. The electronic total energy is -60.7 eV per formula unit. As for the space group: C2, No. 5. Its energy of formation is -0.555 eV/atom.

A relaxed structure of MgZrTi, computed with PBE-GGA.

Structure (POSCAR):
```
MgZrTi
1.0
-3.093 -2.883 -0.076
0.956 -0.919 -3.964
5.084 -5.459 0.292
Mg Zr Ti
2 2 2
direct
0.428 0.504 0.088
0.929 0.004 0.086
0.928 0.331 0.433
0.428 0.178 0.740
0.928 0.685 0.727
0.428 0.825 0.447
```

Calculated values
The value obtained for the volume is 63.3 Å³/f.u. The electronic total energy is -18.0 eV per formula unit. As for the space group: Cmcm, No. 63. Its energy of formation is 0.028 eV/atom.

A relaxed structure of CaGaS2Cl, computed with PBE-GGA.

Structure (POSCAR):
```
CaGaS2Cl
1.0
-0.335 -2.173 -4.560
4.192 -10.197 4.551
-4.728 -1.475 1.050
Ca S Ga Cl
1 2 1 1
direct
0.000 0.000 0.000
0.000 0.000 0.500
0.500 0.000 0.000
0.000 0.500 0.000
0.500 0.500 0.500
```

Calculated values
The value obtained for the volume is 305.7 Å³/f.u. The electronic total energy is -15.8 eV per formula unit. As for the space group: P4/mmm, No. 123. As for the uncorrected formation energy: -3.21 kcal/mol of atoms.

A relaxed structure of Ti2GaAu, computed with PBE-GGA.

Structure (POSCAR):
```
Ti2GaAu
1.0
4.082 0.000 0.000
0.000 4.004 0.000
0.000 0.000 4.004
Au Ga Ti
1 1 2
direct
0.500 0.000 0.000
0.500 0.500 0.500
0.000 0.000 0.500
0.000 0.500 0.000
```

Calculated values
The value obtained for the volume is 65.5 Å³/f.u. The electronic total energy is -23.8 eV per formula unit. As for the space group: P4/mmm, No. 123. Its energy of formation is -0.428 eV/atom.

A relaxed structure of ZnTe3Os, computed with PBE-GGA.

Structure (POSCAR):
```
ZnTe3Os
1.0
5.059 0.000 0.000
0.000 5.059 0.000
0.000 0.000 5.059
Zn Te Os
1 3 1
direct
0.000 0.000 0.000
0.000 0.500 0.000
0.000 0.000 0.500
0.500 0.000 0.000
0.500 0.500 0.500
```

Calculated values
The value obtained for the volume is 129.5 Å³/f.u. The electronic total energy is -14.4 eV per formula unit. As for the space group: Pm-3m, No. 221. As for the uncorrected formation energy: 34.65 kcal/mol of atoms.

A relaxed structure of PmAgTeAu, computed with PBE-GGA.

Structure (POSCAR):
```
PmAgTeAu
1.0
5.173 0.000 0.000
2.587 4.480 0.000
2.587 1.493 4.224
Te Au Ag Pm
1 1 1 1
direct
0.250 0.250 0.250
0.750 0.750 0.750
0.500 0.500 0.500
0.000 0.000 0.000
```

Calculated values
The value obtained for the volume is 97.9 Å³/f.u. The electronic total energy is -16.2 eV per formula unit. As for the space group: F-43m, No. 216. As for the uncorrected formation energy: -12.38 kcal/mol of atoms.

A relaxed structure of AcLu2Sb, computed with PBE-GGA.

Structure (POSCAR):
```
AcLu2Sb
1.0
4.955 0.000 0.000
0.000 4.922 0.000
0.000 0.000 4.922
Sb Ac Lu
1 1 2
direct
0.500 0.000 0.000
0.500 0.500 0.500
0.000 0.000 0.500
0.000 0.500 0.000
```

Calculated values
The value obtained for the volume is 120.1 Å³/f.u. The electronic total energy is -18.7 eV per formula unit. As for the space group: P4/mmm, No. 123. As for the uncorrected formation energy: -8.24 kcal/mol of atoms.

A relaxed structure of Sn2BiAu, computed with PBE-GGA.

Structure (POSCAR):
```
Sn2BiAu
1.0
6.528 0.000 0.000
0.000 6.528 0.000
3.264 3.264 6.684
Au Bi Sn
2 2 4
direct
0.500 0.500 0.000
0.250 0.750 0.500
0.000 0.000 0.000
0.750 0.250 0.500
0.582 0.125 0.250
0.168 0.625 0.250
0.375 0.418 0.750
0.875 0.832 0.750
```

Calculated values
The value obtained for the volume is 142.4 Å³/f.u. The electronic total energy is -15.0 eV per formula unit. As for the space group: I-42d, No. 122. Its energy of formation is 0.052 eV/atom.

A relaxed structure of La2AlTl, computed with PBE-GGA.

Structure (POSCAR):
```
La2AlTl
1.0
-0.429 -6.080 1.699
3.584 -4.816 2.001
-0.157 -0.699 5.019
Tl Al La
1 1 2
direct
0.536 0.536 0.464
0.216 0.216 0.284
0.987 0.987 0.013
0.762 0.762 0.738
```

Calculated values
The value obtained for the volume is 115.5 Å³/f.u. The electronic total energy is -17.4 eV per formula unit. As for the space group: Imm2, No. 44. Its energy of formation is -0.366 eV/atom.

A relaxed structure of RbYSi, computed with PBE-GGA.

Structure (POSCAR):
```
RbYSi
1.0
8.039 0.000 0.000
0.000 4.962 0.000
0.000 0.000 11.293
Y Si Rb
4 4 4
direct
0.002 0.250 0.877
0.498 0.750 0.377
0.998 0.750 0.123
0.502 0.250 0.623
0.331 0.250 0.404
0.169 0.750 0.904
0.669 0.750 0.596
0.831 0.250 0.096
0.886 0.250 0.405
0.614 0.750 0.905
0.114 0.750 0.595
0.386 0.250 0.095
```

Calculated values
The value obtained for the volume is 112.6 Å³/f.u. The electronic total energy is -12.6 eV per formula unit. As for the space group: Pnma, No. 62. As for the uncorrected formation energy: 1.91 kcal/mol of atoms.

A relaxed structure of PrNd3Ag3, computed with PBE-GGA.

Structure (POSCAR):
```
PrNd3Ag3
1.0
1.016 -5.875 4.651
7.398 1.338 -0.811
-0.243 4.461 5.607
Pr Nd Ag
2 6 6
direct
0.743 0.743 0.856
0.257 0.257 0.144
0.633 0.633 0.362
0.181 0.819 0.500
0.819 0.181 0.500
0.265 0.735 0.000
0.735 0.265 0.000
0.367 0.367 0.638
0.931 0.931 0.184
0.004 0.479 0.733
0.479 0.004 0.733
0.996 0.521 0.267
0.521 0.996 0.267
0.069 0.069 0.816
```

Calculated values
The value obtained for the volume is 204.4 Å³/f.u. The electronic total energy is -28.4 eV per formula unit. As for the space group: C2/m, No. 12. Its energy of formation is -0.111 eV/atom.

A relaxed structure of Na2BeAuBr, computed with PBE-GGA.

Structure (POSCAR):
```
Na2BeAuBr
1.0
5.392 0.000 0.000
0.000 4.685 0.000
0.000 0.000 5.392
Na Au Br Be
2 1 1 1
direct
0.000 0.000 0.500
0.500 0.000 0.000
0.500 0.500 0.500
0.000 0.000 0.000
0.000 0.500 0.000
```

Calculated values
The value obtained for the volume is 136.2 Å³/f.u. The electronic total energy is -10.4 eV per formula unit. As for the space group: P4/mmm, No. 123. As for the uncorrected formation energy: 4.31 kcal/mol of atoms.

Please write out number 3 again, unchanged.
A relaxed structure of CaGaS2Cl, computed with PBE-GGA.

Structure (POSCAR):
```
CaGaS2Cl
1.0
-0.335 -2.173 -4.560
4.192 -10.197 4.551
-4.728 -1.475 1.050
Ca S Ga Cl
1 2 1 1
direct
0.000 0.000 0.000
0.000 0.000 0.500
0.500 0.000 0.000
0.000 0.500 0.000
0.500 0.500 0.500
```

Calculated values
The value obtained for the volume is 305.7 Å³/f.u. The electronic total energy is -15.8 eV per formula unit. As for the space group: P4/mmm, No. 123. As for the uncorrected formation energy: -3.21 kcal/mol of atoms.

Which formula does entry 6 have? PmAgTeAu

What is the formula in the eleventh record? PrNd3Ag3